#P
VASP calculation (PBE-GGA) on a geometry-optimized TbTh2In structure.

Cell and atoms, written as CIF:
```
data_TbTh2In
_chemical_formula_sum 'Tb4 Th8 In4'
_symmetry_space_group_name_H-M 'P 1'
_symmetry_Int_Tables_number 1
_cell_length_a 7.843
_cell_length_b 7.843
_cell_length_c 7.843
_cell_angle_alpha 90.00
_cell_angle_beta 90.00
_cell_angle_gamma 90.00
loop_
_symmetry_equiv_pos_as_xyz
'x,y,z'
loop_
_atom_site_label
_atom_site_type_symbol
_atom_site_fract_x
_atom_site_fract_y
_atom_site_fract_z
Tb1 Tb 0.000 0.000 0.000
Tb2 Tb 0.000 0.500 0.500
Tb3 Tb 0.500 0.000 0.500
Tb4 Tb 0.500 0.500 0.000
Th1 Th 0.250 0.250 0.250
Th2 Th 0.250 0.250 0.750
Th3 Th 0.250 0.750 0.250
Th4 Th 0.250 0.750 0.750
Th5 Th 0.750 0.250 0.250
Th6 Th 0.750 0.250 0.750
Th7 Th 0.750 0.750 0.250
Th8 Th 0.750 0.750 0.750
In1 In 0.000 0.000 0.500
In2 In 0.000 0.500 0.000
In3 In 0.500 0.000 0.000
In4 In 0.500 0.500 0.500
```

Values from the calculation:
Spin magnetization   0.00 μB per atom
Space group   Fm-3m
Fermi-level density of states   5.309 states/eV/f.u.

#Q
VASP calculation (PBE-GGA) on a geometry-optimized TbTh2In structure.

Cell and atoms, written as CIF:
```
data_TbTh2In
_chemical_formula_sum 'Tb3 Th6 In3'
_symmetry_space_group_name_H-M 'P 1'
_symmetry_Int_Tables_number 1
_cell_length_a 3.521
_cell_length_b 3.521
_cell_length_c 34.592
_cell_angle_alpha 90.00
_cell_angle_beta 90.00
_cell_angle_gamma 120.00
loop_
_symmetry_equiv_pos_as_xyz
'x,y,z'
loop_
_atom_site_label
_atom_site_type_symbol
_atom_site_fract_x
_atom_site_fract_y
_atom_site_fract_z
Tb1 Tb 0.000 0.000 0.000
Tb2 Tb 0.333 0.667 0.667
Tb3 Tb 0.667 0.333 0.333
Th1 Th 0.000 0.000 0.420
Th2 Th 0.000 0.000 0.581
Th3 Th 0.333 0.667 0.087
Th4 Th 0.333 0.667 0.248
Th5 Th 0.667 0.333 0.754
Th6 Th 0.667 0.333 0.914
In1 In 0.000 0.000 0.834
In2 In 0.333 0.667 0.501
In3 In 0.667 0.333 0.168
```

Values from the calculation:
Spin magnetization   0.00 μB per atom
Space group   R3m
Fermi-level density of states   5.910 states/eV/f.u.

#R
VASP calculation (PBE-GGA) on a geometry-optimized TbTh2In structure.

Cell and atoms, written as CIF:
```
data_TbTh2In
_chemical_formula_sum 'Tb1 Th2 In1'
_symmetry_space_group_name_H-M 'P 1'
_symmetry_Int_Tables_number 1
_cell_length_a 4.841
_cell_length_b 4.841
_cell_length_c 5.068
_cell_angle_alpha 90.00
_cell_angle_beta 90.00
_cell_angle_gamma 90.00
loop_
_symmetry_equiv_pos_as_xyz
'x,y,z'
loop_
_atom_site_label
_atom_site_type_symbol
_atom_site_fract_x
_atom_site_fract_y
_atom_site_fract_z
Tb1 Tb 0.000 0.000 0.000
Th1 Th 0.000 0.500 0.500
Th2 Th 0.500 0.000 0.500
In1 In 0.500 0.500 0.000
```

Values from the calculation:
Spin magnetization   0.00 μB per atom
Space group   P4/mmm
Fermi-level density of states   4.315 states/eV/f.u.

Stability, lowest: #P

#P
VASP calculation (PBE-GGA) on a geometry-optimized TbTh2In structure.

Cell and atoms, written as CIF:
```
data_TbTh2In
_chemical_formula_sum 'Tb2 Th4 In2'
_symmetry_space_group_name_H-M 'P 1'
_symmetry_Int_Tables_number 1
_cell_length_a 6.063
_cell_length_b 5.750
_cell_length_c 6.885
_cell_angle_alpha 90.00
_cell_angle_beta 90.65
_cell_angle_gamma 90.00
loop_
_symmetry_equiv_pos_as_xyz
'x,y,z'
loop_
_atom_site_label
_atom_site_type_symbol
_atom_site_fract_x
_atom_site_fract_y
_atom_site_fract_z
Tb1 Tb 0.113 0.250 0.371
Tb2 Tb 0.887 0.750 0.629
Th1 Th 0.092 0.250 0.866
Th2 Th 0.398 0.750 0.891
Th3 Th 0.602 0.250 0.109
Th4 Th 0.908 0.750 0.134
In1 In 0.404 0.750 0.389
In2 In 0.596 0.250 0.611
```

Values from the calculation:
Spin magnetization   0.00 μB per atom
Space group   P2_1/m
Fermi-level density of states   5.489 states/eV/f.u.

#Q
VASP calculation (PBE-GGA) on a geometry-optimized TbTh2In structure.

Cell and atoms, written as CIF:
```
data_TbTh2In
_chemical_formula_sum 'Tb3 Th6 In3'
_symmetry_space_group_name_H-M 'P 1'
_symmetry_Int_Tables_number 1
_cell_length_a 3.481
_cell_length_b 3.481
_cell_length_c 37.446
_cell_angle_alpha 90.00
_cell_angle_beta 90.00
_cell_angle_gamma 120.00
loop_
_symmetry_equiv_pos_as_xyz
'x,y,z'
loop_
_atom_site_label
_atom_site_type_symbol
_atom_site_fract_x
_atom_site_fract_y
_atom_site_fract_z
Tb1 Tb 0.000 0.000 0.000
Tb2 Tb 0.333 0.667 0.667
Tb3 Tb 0.667 0.333 0.333
Th1 Th 0.000 0.000 0.412
Th2 Th 0.000 0.000 0.588
Th3 Th 0.333 0.667 0.079
Th4 Th 0.333 0.667 0.255
Th5 Th 0.667 0.333 0.745
Th6 Th 0.667 0.333 0.921
In1 In 0.000 0.000 0.500
In2 In 0.333 0.667 0.167
In3 In 0.667 0.333 0.833
```

Values from the calculation:
Spin magnetization   0.00 μB per atom
Space group   R-3m
Fermi-level density of states   5.899 states/eV/f.u.

Stability, lowest: #Q

#P
VASP calculation (PBE-GGA) on a geometry-optimized TbThIn structure.

Cell and atoms, written as CIF:
```
data_TbThIn
_chemical_formula_sum 'Tb4 Th4 In4'
_symmetry_space_group_name_H-M 'P 1'
_symmetry_Int_Tables_number 1
_cell_length_a 4.514
_cell_length_b 15.852
_cell_length_c 4.943
_cell_angle_alpha 90.00
_cell_angle_beta 90.00
_cell_angle_gamma 90.00
loop_
_symmetry_equiv_pos_as_xyz
'x,y,z'
loop_
_atom_site_label
_atom_site_type_symbol
_atom_site_fract_x
_atom_site_fract_y
_atom_site_fract_z
Tb1 Tb 0.000 0.242 0.250
Tb2 Tb 0.000 0.758 0.750
Tb3 Tb 0.500 0.258 0.750
Tb4 Tb 0.500 0.742 0.250
Th1 Th 0.000 0.073 0.750
Th2 Th 0.000 0.927 0.250
Th3 Th 0.500 0.427 0.250
Th4 Th 0.500 0.573 0.750
In1 In 0.000 0.401 0.750
In2 In 0.000 0.599 0.250
In3 In 0.500 0.099 0.250
In4 In 0.500 0.901 0.750
```

Values from the calculation:
Spin magnetization   0.00 μB per atom
Space group   Cmcm
Fermi-level density of states   3.111 states/eV/f.u.

#Q
VASP calculation (PBE-GGA) on a geometry-optimized TbThIn structure.

Cell and atoms, written as CIF:
```
data_TbThIn
_chemical_formula_sum 'Tb1 Th1 In1'
_symmetry_space_group_name_H-M 'P 1'
_symmetry_Int_Tables_number 1
_cell_length_a 5.352
_cell_length_b 5.352
_cell_length_c 3.611
_cell_angle_alpha 90.00
_cell_angle_beta 90.00
_cell_angle_gamma 120.00
loop_
_symmetry_equiv_pos_as_xyz
'x,y,z'
loop_
_atom_site_label
_atom_site_type_symbol
_atom_site_fract_x
_atom_site_fract_y
_atom_site_fract_z
Tb1 Tb 0.000 0.000 0.000
Th1 Th 0.667 0.333 0.553
In1 In 0.333 0.667 0.204
```

Values from the calculation:
Spin magnetization   0.00 μB per atom
Space group   P3m1
Fermi-level density of states   4.182 states/eV/f.u.

Stability, lowest: #Q